The following is a DFT calculation (PBE-GGA) of crystalline Sc3Ni at its relaxed geometry.

As for the total energy: -6.2350 eV/atom.

It has space group P6_3/mmc (No. 194), with a = 6.2745 Å, b = 6.2745 Å, c = 4.5772 Å, α = 90.00°, β = 90.00° and γ = 120.00°. The asymmetric unit holds Sc at (0.1779, 0.3558, 0.2500) and Ni at (0.3333, 0.6667, 0.7500).